VASP calculation (PBE) on crystalline Hf2TiBi at its relaxed geometry.

Unit cell a=4.2731 b=4.3060 c=10.0882 alpha=90.00 beta=102.31 gamma=90.00
Closest atoms and distances in Å follow each position.
Element x y z (fractional)
Bi: 0.1780 0.2500 0.3536  5 Ti 2.88-3.03, 4 Hf 3.16-3.20
Bi: 0.8220 0.7500 0.6464  5 Ti 2.88-3.03, 4 Hf 3.16-3.20
Hf: 0.5588 0.2500 0.1168  8 Hf 3.03-3.15, 2 Bi 3.16, 2 Ti 3.18
Hf: 0.9426 0.2500 0.8860  8 Hf 3.03-3.12, 2 Ti 3.19, 2 Bi 3.20
Hf: 0.4412 0.7500 0.8832  8 Hf 3.03-3.15, 2 Bi 3.16, 2 Ti 3.18
Hf: 0.0574 0.7500 0.1140  8 Hf 3.03-3.12, 2 Ti 3.19, 2 Bi 3.20
Ti: 0.6786 0.7500 0.3542  5 Bi 2.88-3.03, 4 Hf 3.18-3.19
Ti: 0.3214 0.2500 0.6458  5 Bi 2.88-3.03, 4 Hf 3.18-3.19

Results
For the formation energy, the calculation gives -0.27 eV/f.u.


VASP calculation (PBE) on crystalline Hf8TiBi2 at its relaxed geometry.

Unit cell a=5.3937 b=7.8638 c=7.8638 alpha=122.88 beta=101.19 gamma=101.19
Closest atoms and distances in Å follow each position.
Element x y z (fractional)
Hf: 0.1691 0.3135 0.1056  5 Hf 2.87-3.16, 2 Bi 3.00-3.08, 1 Ti 3.16
Hf: 0.5000 0.2069 0.7931  1 Ti 2.86, 2 Bi 2.99, 2 Hf 3.16
Hf: 0.8309 0.8944 0.6865  5 Hf 2.87-3.16, 2 Bi 3.00-3.08, 1 Ti 3.16
Hf: 0.8309 0.6865 0.8944  5 Hf 2.87-3.16, 2 Bi 3.00-3.08, 1 Ti 3.16
Hf: 0.2990 0.6094 0.6094  1 Ti 2.69, 3 Hf 2.97-3.00
Hf: 0.1691 0.1056 0.3135  5 Hf 2.87-3.16, 2 Bi 3.00-3.08, 1 Ti 3.16
Hf: 0.5000 0.7931 0.2069  1 Ti 2.86, 2 Bi 2.99, 2 Hf 3.16
Hf: 0.7010 0.3906 0.3906  1 Ti 2.69, 3 Hf 2.97-3.00
Bi: 0.0000 0.7000 0.3000  8 Hf 2.99-3.14
Bi: 0.0000 0.3000 0.7000  8 Hf 2.99-3.14
Ti: 0.5000 0.0000 0.0000  4 Hf 2.69-2.86

Results
For the formation energy, the calculation gives 1.37 eV/f.u.


VASP calculation (PBE) on crystalline HfTiBi4 at its relaxed geometry.

Unit cell a=3.3257 b=9.5702 c=5.9047 alpha=109.42 beta=90.00 gamma=100.01
Closest atoms and distances in Å follow each position.
Element x y z (fractional)
Ti: 0.0000 0.0000 0.0000  6 Bi 3.07-3.12, 2 Ti 3.33, 4 Hf 3.39
Bi: 0.6346 0.2692 0.9794  2 Ti 3.07, 1 Hf 3.10, 6 Bi 3.33-3.43
Bi: 0.8617 0.7233 0.5251  1 Ti 3.12, 2 Hf 3.14, 6 Bi 3.33-3.43
Bi: 0.3654 0.7308 0.0206  2 Ti 3.07, 1 Hf 3.10, 6 Bi 3.33-3.43
Bi: 0.1383 0.2767 0.4749  1 Ti 3.12, 2 Hf 3.14, 6 Bi 3.33-3.43
Hf: 0.5000 0.0000 0.5000  6 Bi 3.10-3.14, 2 Hf 3.33, 4 Ti 3.39

Results
For the formation energy, the calculation gives -0.19 eV/f.u.


VASP calculation (PBE) on crystalline Hf5TiBi2 at its relaxed geometry.

Unit cell a=3.1695 b=7.8206 c=7.8206 alpha=80.09 beta=78.31 gamma=78.31
Closest atoms and distances in Å follow each position.
Element x y z (fractional)
Hf: 0.6243 0.1469 0.6045  5 Hf 2.87-3.17, 1 Bi 3.01
Hf: 0.3757 0.3955 0.8531  5 Hf 2.87-3.17, 1 Bi 3.01
Hf: 0.3757 0.8531 0.3955  5 Hf 2.87-3.17, 1 Bi 3.01
Hf: 0.0000 0.5000 0.5000  2 Bi 3.08, 10 Hf 3.14-3.17
Hf: 0.6243 0.6045 0.1469  5 Hf 2.87-3.17, 1 Bi 3.01
Bi: 0.7337 0.7663 0.7663  7 Hf 3.01-3.24, 2 Ti 3.13, 2 Bi 3.17
Bi: 0.2663 0.2337 0.2337  7 Hf 3.01-3.24, 2 Ti 3.13, 2 Bi 3.17
Ti: 0.0000 0.0000 0.0000  4 Bi 3.13, 2 Ti 3.17, 8 Hf 3.47

Results
For the formation energy, the calculation gives 0.94 eV/f.u.